Entry from Alexandria via LeMat-Bulk: a relaxed structure of Sr2YPbO4 (GGA-PBE).

Cell and atoms, written as extended XYZ:
```
8
Lattice="6.538 0.000 0.000 0.000 3.468 0.000 -2.758 0.000 6.340" Properties=species:S:1:pos:R:3 pbc="T T T"
Sr 0.000 0.000 0.000
Sr 1.890 1.734 3.170
Y -1.379 0.000 3.170
Pb 3.269 1.734 0.000
O -0.405 1.734 1.862
O 0.548 0.000 4.392
O 3.231 0.000 1.948
O 4.184 1.734 4.477
```

total DFT energy (no corrections)	-6.55	eV per atom
ρ	6.2	g/cm³
total magnetic moment	0.26	μB/cell

***

Entry from Alexandria via LeMat-Bulk: a relaxed structure of Sr2YPbO (GGA-PBE).

Cell and atoms, written as extended XYZ:
```
5
Lattice="5.206 0.000 0.000 0.000 5.206 0.000 0.000 0.000 4.833" Properties=species:S:1:pos:R:3 pbc="T T T"
Sr 0.000 2.603 0.000
Sr 2.603 0.000 0.000
Y 0.000 0.000 2.417
Pb 2.603 2.603 2.417
O 0.000 0.000 0.000
```

total DFT energy (no corrections)	-5.02	eV per atom
ρ	6.2	g/cm³
total magnetic moment	0.01	μB/cell

***

Entry from Alexandria via LeMat-Bulk: a relaxed structure of Sr2ZnPbO5 (GGA-PBE).

Cell and atoms, written as extended XYZ:
```
18
Lattice="1.715 -7.218 0.000 1.715 7.218 0.000 0.000 0.000 10.662" Properties=species:S:1:pos:R:3 pbc="T T T"
Sr 1.715 5.685 5.331
Sr 1.715 5.409 1.084
Sr 1.715 -5.409 6.415
Sr 1.715 -5.685 0.000
Zn 1.715 0.275 2.883
Zn 1.715 -0.275 8.214
Pb 1.715 4.100 8.692
Pb 1.715 -4.100 3.361
O 1.715 6.335 9.022
O 1.715 3.154 4.863
O 1.715 2.938 1.909
O 1.715 1.890 8.637
O 1.715 0.009 6.293
O 1.715 -0.009 0.962
O 1.715 -1.890 3.306
O 1.715 -2.938 7.240
O 1.715 -3.154 10.194
O 1.715 -6.335 3.691
```

total DFT energy (no corrections)	-5.56	eV per atom
ρ	6.6	g/cm³
total magnetic moment	0.00	μB/cell

***

Question: Among the records above, which one has the highest ρ?
Answer: Sr2ZnPbO5

***

Question: Which value of ρ does entry 2 give?
Answer: 6.2 g/cm³

***

Question: Which of these has the lowest total DFT energy (no corrections)?
Answer: Sr2YPbO4